Material: Er12Tl6Ga
Method: DFT, PBE-GGA
State: relaxed

Values from the calculation:
- formation enthalpy at 0 K (eV/f.u.) = -0.20
- VASP energy (eV/cell) = -72.2
- symmetry = R-3 (148)
- V (Å³/cell) = 631

abc: 8.7189 8.7189 8.7189
angles: 99.67 99.67 99.67
Fractional coordinates of all 19 atoms:
Er 0.0496 0.9352 0.6824
Er 0.0648 0.3176 0.9504
Er 0.1809 0.5704 0.4313
Er 0.3176 0.9504 0.0648
Er 0.4296 0.5687 0.8191
Er 0.4313 0.1809 0.5704
Er 0.5687 0.8191 0.4296
Er 0.5704 0.4313 0.1809
Er 0.6824 0.0496 0.9352
Er 0.8191 0.4296 0.5687
Er 0.9352 0.6824 0.0496
Er 0.9504 0.0648 0.3176
Tl 0.1344 0.3009 0.6154
Tl 0.3009 0.6154 0.1344
Tl 0.3846 0.8656 0.6991
Tl 0.6154 0.1344 0.3009
Tl 0.6991 0.3846 0.8656
Tl 0.8656 0.6991 0.3846
Ga 0.0000 0.0000 0.0000

=====

Material: Er7Tl2Ga2
Method: DFT, PBE-GGA
State: relaxed

Values from the calculation:
- formation enthalpy at 0 K (eV/f.u.) = -0.54
- VASP energy (eV/cell) = -43.3
- symmetry = Cmmm (65)
- V (Å³/cell) = 318

abc: 6.5657 6.5657 7.8759
angles: 90.00 90.00 110.64
Fractional coordinates of all 11 atoms:
Er 0.0000 0.0000 0.0000
Er 0.0000 0.5000 0.2972
Er 0.0000 0.5000 0.7028
Er 0.5000 0.0000 0.2972
Er 0.5000 0.0000 0.7028
Er 0.5000 0.5000 0.2844
Er 0.5000 0.5000 0.7156
Tl 0.3004 0.6996 0.0000
Tl 0.6996 0.3004 0.0000
Ga 0.1703 0.1703 0.5000
Ga 0.8297 0.8297 0.5000

=====

Material: Er2TlGa2
Method: DFT, PBE-GGA
State: relaxed

Values from the calculation:
- formation enthalpy at 0 K (eV/f.u.) = -2.53
- VASP energy (eV/cell) = -40.1
- symmetry = P4/mbm (127)
- V (Å³/cell) = 230

abc: 7.2595 7.2595 4.3617
angles: 90.00 90.00 90.00
Fractional coordinates of all 10 atoms:
Er 0.1712 0.3288 0.0000
Er 0.3288 0.8288 0.0000
Er 0.6712 0.1712 0.0000
Er 0.8288 0.6712 0.0000
Tl 0.0000 0.0000 0.5000
Tl 0.5000 0.5000 0.5000
Ga 0.1242 0.6242 0.5000
Ga 0.3758 0.1242 0.5000
Ga 0.6242 0.8758 0.5000
Ga 0.8758 0.3758 0.5000

=====

Material: Er4Tl5Ga2
Method: DFT, PBE-GGA
State: relaxed

Values from the calculation:
- formation enthalpy at 0 K (eV/f.u.) = -3.59
- VASP energy (eV/cell) = -39.7
- symmetry = P2/m (10)
- V (Å³/cell) = 281

abc: 8.1068 3.6253 9.5634
angles: 90.00 92.60 90.00
Fractional coordinates of all 11 atoms:
Er 0.2052 0.0000 0.3538
Er 0.2278 0.0000 0.9075
Er 0.7722 0.0000 0.0925
Er 0.7948 0.0000 0.6462
Tl 0.1402 0.5000 0.6324
Tl 0.4529 0.5000 0.1610
Tl 0.5000 0.5000 0.5000
Tl 0.5471 0.5000 0.8390
Tl 0.8598 0.5000 0.3676
Ga 0.0824 0.5000 0.1214
Ga 0.9176 0.5000 0.8786

=====

Material: ErTlGa4
Method: DFT, PBE-GGA
State: relaxed

Values from the calculation:
- formation enthalpy at 0 K (eV/f.u.) = -1.08
- VASP energy (eV/cell) = -20.1
- symmetry = F-43m (216)
- V (Å³/cell) = 126

abc: 5.6203 5.6203 5.6203
angles: 60.00 60.00 60.00
Fractional coordinates of all 6 atoms:
Er 0.0000 0.0000 0.0000
Tl 0.2500 0.2500 0.2500
Ga 0.1236 0.6255 0.6255
Ga 0.6255 0.1236 0.6255
Ga 0.6255 0.6255 0.1236
Ga 0.6255 0.6255 0.6255

=====

Material: Er2TlGa
Method: DFT, PBE-GGA
State: relaxed

Values from the calculation:
- formation enthalpy at 0 K (eV/f.u.) = -1.38
- VASP energy (eV/cell) = -47.7
- ΔE to the lowest computed polymorph (eV per atom) = 0.096
- symmetry = R-3m (166)
- V (Å³/cell) = 317

abc: 3.6630 3.6630 27.2465
angles: 90.00 90.00 120.00
Fractional coordinates of all 12 atoms:
Er 0.0000 0.0000 0.2434
Er 0.0000 0.0000 0.7566
Er 0.3333 0.6667 0.4233
Er 0.3333 0.6667 0.9100
Er 0.6667 0.3333 0.0900
Er 0.6667 0.3333 0.5767
Tl 0.0000 0.0000 0.0000
Tl 0.3333 0.6667 0.6667
Tl 0.6667 0.3333 0.3333
Ga 0.0000 0.0000 0.5000
Ga 0.3333 0.6667 0.1667
Ga 0.6667 0.3333 0.8333

=====

Material: Er4Tl3Ga
Method: DFT, PBE-GGA
State: relaxed

Values from the calculation:
- formation enthalpy at 0 K (eV/f.u.) = -2.78
- VASP energy (eV/cell) = -31.2
- ΔE to the lowest computed polymorph (eV per atom) = 0.029
- symmetry = Pmm2 (25)
- V (Å³/cell) = 216

abc: 4.2550 4.4910 11.2812
angles: 90.00 90.00 90.00
Fractional coordinates of all 8 atoms:
Er 0.0000 0.0000 0.0000
Er 0.0000 0.5000 0.4806
Er 0.5000 0.0000 0.7170
Er 0.5000 0.5000 0.2206
Tl 0.0000 0.5000 0.7564
Tl 0.5000 0.0000 0.4376
Tl 0.5000 0.5000 0.9478
Ga 0.0000 0.0000 0.2655

=====

Material: Er5Tl4Ga
Method: DFT, PBE-GGA
State: relaxed

Values from the calculation:
- formation enthalpy at 0 K (eV/f.u.) = -3.63
- VASP energy (eV/cell) = -38.9
- symmetry = P4/mmm (123)
- V (Å³/cell) = 259

abc: 3.6425 3.6425 19.5040
angles: 90.00 90.00 90.00
Fractional coordinates of all 10 atoms:
Er 0.0000 0.0000 0.0000
Er 0.0000 0.0000 0.2068
Er 0.0000 0.0000 0.4121
Er 0.0000 0.0000 0.5879
Er 0.0000 0.0000 0.7932
Tl 0.5000 0.5000 0.1037
Tl 0.5000 0.5000 0.3086
Tl 0.5000 0.5000 0.6914
Tl 0.5000 0.5000 0.8963
Ga 0.5000 0.5000 0.5000

=====

Material: Er12Tl5Ga2
Method: DFT, PBE-GGA
State: relaxed

Values from the calculation:
- formation enthalpy at 0 K (eV/f.u.) = -3.63
- VASP energy (eV/cell) = -76.3
- symmetry = C2/m (12)
- V (Å³/cell) = 537

abc: 9.2579 9.2579 8.9723
angles: 95.28 95.28 44.60
Fractional coordinates of all 19 atoms:
Er 0.0008 0.0008 0.1968
Er 0.0955 0.6023 0.9822
Er 0.0982 0.5898 0.5681
Er 0.3977 0.9045 0.0178
Er 0.4102 0.9018 0.4319
Er 0.4661 0.4661 0.3159
Er 0.5339 0.5339 0.6841
Er 0.5898 0.0982 0.5681
Er 0.6023 0.0955 0.9822
Er 0.9018 0.4102 0.4319
Er 0.9045 0.3977 0.0178
Er 0.9992 0.9992 0.8032
Tl 0.2040 0.2040 0.7407
Tl 0.2758 0.2758 0.2525
Tl 0.5000 0.5000 0.0000
Tl 0.7242 0.7242 0.7475
Tl 0.7960 0.7960 0.2593
Ga 0.1737 0.8263 0.5000
Ga 0.8263 0.1737 0.5000

=====

Material: Er4TlGa2
Method: DFT, PBE-GGA
State: relaxed

Values from the calculation:
- formation enthalpy at 0 K (eV/f.u.) = -1.52
- VASP energy (eV/cell) = -28.2
- symmetry = R-3m (166)
- V (Å³/cell) = 193

abc: 9.5187 9.5187 9.5187
angles: 30.14 30.14 30.14
Fractional coordinates of all 7 atoms:
Er 0.1179 0.1179 0.1179
Er 0.2955 0.2955 0.2955
Er 0.7045 0.7045 0.7045
Er 0.8821 0.8821 0.8821
Tl 0.5000 0.5000 0.5000
Ga 0.4002 0.4002 0.4002
Ga 0.5998 0.5998 0.5998

=====

Material: Er6Tl2Ga
Method: DFT, PBE-GGA
State: relaxed

Values from the calculation:
- formation enthalpy at 0 K (eV/f.u.) = -0.93
- VASP energy (eV/cell) = -36.1
- symmetry = Immm (71)
- V (Å³/cell) = 275

abc: 8.7727 8.7727 8.7727
angles: 146.49 131.79 59.99
Fractional coordinates of all 9 atoms:
Er 0.0819 0.3383 0.7436
Er 0.2375 0.0000 0.2375
Er 0.4053 0.6617 0.7436
Er 0.5947 0.3383 0.2564
Er 0.7625 0.0000 0.7625
Er 0.9181 0.6617 0.2564
Tl 0.3339 0.8339 0.5000
Tl 0.6661 0.1661 0.5000
Ga 0.0000 0.5000 0.5000

=====

Material: Er8Tl3Ga2
Method: DFT, PBE-GGA
State: relaxed

Values from the calculation:
- formation enthalpy at 0 K (eV/f.u.) = -1.78
- VASP energy (eV/cell) = -51.4
- symmetry = C2/m (12)
- V (Å³/cell) = 386

abc: 9.5535 9.5535 5.8490
angles: 102.72 102.72 48.23
Fractional coordinates of all 13 atoms:
Er 0.1057 0.1057 0.0047
Er 0.1095 0.6182 0.4717
Er 0.3049 0.3049 0.9156
Er 0.3818 0.8905 0.5283
Er 0.6182 0.1095 0.4717
Er 0.6951 0.6951 0.0844
Er 0.8905 0.3818 0.5283
Er 0.8943 0.8943 0.9953
Tl 0.0000 0.0000 0.5000
Tl 0.3164 0.6836 0.0000
Tl 0.6836 0.3164 0.0000
Ga 0.2445 0.2445 0.3736
Ga 0.7555 0.7555 0.6264

=====

Material: Er3Tl2Ga2
Method: DFT, PBE-GGA
State: relaxed

Values from the calculation:
- formation enthalpy at 0 K (eV/f.u.) = -3.20
- VASP energy (eV/cell) = -55.3
- symmetry = Cmmm (65)
- V (Å³/cell) = 337

abc: 4.2283 22.0391 3.6111
angles: 90.00 90.00 90.00
Fractional coordinates of all 14 atoms:
Er 0.0000 0.0000 0.0000
Er 0.0000 0.1677 0.0000
Er 0.0000 0.8323 0.0000
Er 0.5000 0.3323 0.0000
Er 0.5000 0.5000 0.0000
Er 0.5000 0.6677 0.0000
Tl 0.0000 0.4204 0.5000
Tl 0.0000 0.5796 0.5000
Tl 0.5000 0.0796 0.5000
Tl 0.5000 0.9204 0.5000
Ga 0.0000 0.2827 0.5000
Ga 0.0000 0.7173 0.5000
Ga 0.5000 0.2173 0.5000
Ga 0.5000 0.7827 0.5000

=====

Material: Er5TlGa2
Method: DFT, PBE-GGA
State: relaxed

Values from the calculation:
- formation enthalpy at 0 K (eV/f.u.) = -3.65
- VASP energy (eV/cell) = -69.8
- symmetry = I4/mcm (140)
- V (Å³/cell) = 418

abc: 8.9301 8.9301 8.9301
angles: 129.07 129.07 74.89
Fractional coordinates of all 16 atoms:
Er 0.0000 0.0000 0.0000
Er 0.0216 0.5216 0.8309
Er 0.1908 0.0216 0.5000
Er 0.3092 0.8092 0.8309
Er 0.4784 0.3092 0.5000
Er 0.5000 0.5000 0.0000
Er 0.5216 0.6908 0.5000
Er 0.6908 0.1908 0.1691
Er 0.8092 0.9784 0.5000
Er 0.9784 0.4784 0.1691
Tl 0.2500 0.2500 0.0000
Tl 0.7500 0.7500 0.0000
Ga 0.1260 0.3740 0.5000
Ga 0.3740 0.8740 0.2481
Ga 0.6260 0.1260 0.7519
Ga 0.8740 0.6260 0.5000

=====

Material: Er8TlGa2
Method: DFT, PBE-GGA
State: relaxed

Values from the calculation:
- formation enthalpy at 0 K (eV/f.u.) = -2.97
- VASP energy (eV/cell) = -47.9
- symmetry = C2/m (12)
- V (Å³/cell) = 296

abc: 8.3789 8.3789 8.2615
angles: 117.76 117.76 35.75
Fractional coordinates of all 11 atoms:
Er 0.0651 0.0651 0.2205
Er 0.1484 0.1484 0.7066
Er 0.3162 0.3162 0.5406
Er 0.3986 0.3986 0.0388
Er 0.6014 0.6014 0.9612
Er 0.6838 0.6838 0.4594
Er 0.8516 0.8516 0.2934
Er 0.9349 0.9349 0.7795
Tl 0.5000 0.5000 0.5000
Ga 0.2211 0.2211 0.1223
Ga 0.7789 0.7789 0.8777

=====

Material: Er6TlGa
Method: DFT, PBE-GGA
State: relaxed

Values from the calculation:
- formation enthalpy at 0 K (eV/f.u.) = 0.30
- VASP energy (eV/cell) = -64.9
- symmetry = C2/m (12)
- V (Å³/cell) = 488

abc: 6.8432 11.7345 6.8010
angles: 90.00 116.62 90.00
Fractional coordinates of all 16 atoms:
Er 0.2283 0.2022 0.2432
Er 0.2283 0.7978 0.2432
Er 0.2390 0.0000 0.7607
Er 0.2610 0.5000 0.2393
Er 0.2717 0.2978 0.7568
Er 0.2717 0.7022 0.7568
Er 0.7283 0.2978 0.2432
Er 0.7283 0.7022 0.2432
Er 0.7390 0.5000 0.7607
Er 0.7610 0.0000 0.2393
Er 0.7717 0.2022 0.7568
Er 0.7717 0.7978 0.7568
Tl 0.0000 0.5000 0.5000
Tl 0.5000 0.0000 0.5000
Ga 0.0000 0.0000 0.0000
Ga 0.5000 0.5000 0.0000

=====

Material: ErTmTlGa
Method: DFT, PBE-GGA
State: relaxed

Values from the calculation:
- formation enthalpy at 0 K (eV/f.u.) = -1.74
- VASP energy (eV/cell) = -16.2
- ΔE to the lowest computed polymorph (eV per atom) = 0.000
- symmetry = P4mm (99)
- V (Å³/cell) = 98

abc: 3.5298 3.5298 7.8282
angles: 90.00 90.00 90.00
Fractional coordinates of all 4 atoms:
Er 0.0000 0.0000 0.0000
Tm 0.0000 0.0000 0.5397
Tl 0.5000 0.5000 0.2712
Ga 0.5000 0.5000 0.7688

=====

Material: ErTmTlGa
Method: DFT, PBE-GGA
State: relaxed

Values from the calculation:
- formation enthalpy at 0 K (eV/f.u.) = -1.62
- VASP energy (eV/cell) = -64.2
- ΔE to the lowest computed polymorph (eV per atom) = 0.030
- symmetry = F-43m (216)
- V (Å³/cell) = 392

abc: 7.3173 7.3173 7.3173
angles: 90.00 90.00 90.00
Fractional coordinates of all 16 atoms:
Er 0.0000 0.0000 0.0000
Er 0.0000 0.5000 0.5000
Er 0.5000 0.0000 0.5000
Er 0.5000 0.5000 0.0000
Tm 0.0000 0.0000 0.5000
Tm 0.0000 0.5000 0.0000
Tm 0.5000 0.0000 0.0000
Tm 0.5000 0.5000 0.5000
Tl 0.2500 0.2500 0.7500
Tl 0.2500 0.7500 0.2500
Tl 0.7500 0.2500 0.2500
Tl 0.7500 0.7500 0.7500
Ga 0.2500 0.2500 0.2500
Ga 0.2500 0.7500 0.7500
Ga 0.7500 0.2500 0.7500
Ga 0.7500 0.7500 0.2500

=====

Material: YErTlGa
Method: DFT, PBE-GGA
State: relaxed

Values from the calculation:
- formation enthalpy at 0 K (eV/f.u.) = -1.73
- VASP energy (eV/cell) = -72.6
- ΔE to the lowest computed polymorph (eV per atom) = 0.029
- symmetry = F-43m (216)
- V (Å³/cell) = 400

abc: 7.3678 7.3678 7.3678
angles: 90.00 90.00 90.00
Fractional coordinates of all 16 atoms:
Y 0.0000 0.0000 0.0000
Y 0.0000 0.5000 0.5000
Y 0.5000 0.0000 0.5000
Y 0.5000 0.5000 0.0000
Er 0.0000 0.0000 0.5000
Er 0.0000 0.5000 0.0000
Er 0.5000 0.0000 0.0000
Er 0.5000 0.5000 0.5000
Tl 0.2500 0.2500 0.7500
Tl 0.2500 0.7500 0.2500
Tl 0.7500 0.2500 0.2500
Tl 0.7500 0.7500 0.7500
Ga 0.2500 0.2500 0.2500
Ga 0.2500 0.7500 0.7500
Ga 0.7500 0.2500 0.7500
Ga 0.7500 0.7500 0.2500

=====

Material: YErTlGa
Method: DFT, PBE-GGA
State: relaxed

Values from the calculation:
- formation enthalpy at 0 K (eV/f.u.) = -1.85
- VASP energy (eV/cell) = -18.3
- ΔE to the lowest computed polymorph (eV per atom) = 0.000
- symmetry = P4mm (99)
- V (Å³/cell) = 99

abc: 3.5671 3.5671 7.8174
angles: 90.00 90.00 90.00
Fractional coordinates of all 4 atoms:
Y 0.0000 0.0000 0.0000
Er 0.0000 0.0000 0.4628
Tl 0.5000 0.5000 0.7284
Ga 0.5000 0.5000 0.2343

=====

Material: Er2Tm5Ga4
Method: DFT, PBE-GGA
State: relaxed

Values from the calculation:
- formation enthalpy at 0 K (eV/f.u.) = -1.57
- VASP energy (eV/cell) = -45.2
- symmetry = C2/m (12)
- V (Å³/cell) = 285

abc: 11.5477 11.5477 7.7623
angles: 108.56 108.56 16.91
Fractional coordinates of all 11 atoms:
Er 0.2271 0.2271 0.1789
Er 0.7729 0.7729 0.8211
Tm 0.0000 0.0000 0.5000
Tm 0.3594 0.3594 0.5835
Tm 0.3735 0.3735 0.1769
Tm 0.6265 0.6265 0.8231
Tm 0.6406 0.6406 0.4165
Ga 0.0851 0.0851 0.0814
Ga 0.4953 0.4953 0.8216
Ga 0.5047 0.5047 0.1784
Ga 0.9149 0.9149 0.9186

=====

Material: Er5TmGa6
Method: DFT, PBE-GGA
State: relaxed

Values from the calculation:
- formation enthalpy at 0 K (eV/f.u.) = -6.89
- VASP energy (eV/cell) = -52.3
- symmetry = Cmmm (65)
- V (Å³/cell) = 265

abc: 7.9114 7.9114 7.0586
angles: 90.00 90.00 143.12
Fractional coordinates of all 12 atoms:
Er 0.0000 0.0000 0.0000
Er 0.3331 0.6669 0.0000
Er 0.3335 0.6665 0.5000
Er 0.6669 0.3331 0.0000
Er 0.6665 0.3335 0.5000
Tm 0.0000 0.0000 0.5000
Ga 0.1663 0.8337 0.2507
Ga 0.1663 0.8337 0.7493
Ga 0.5000 0.5000 0.2506
Ga 0.5000 0.5000 0.7494
Ga 0.8337 0.1663 0.2507
Ga 0.8337 0.1663 0.7493

=====

Material: ErTm3Ga4
Method: DFT, PBE-GGA
State: relaxed

Values from the calculation:
- formation enthalpy at 0 K (eV/f.u.) = -4.55
- VASP energy (eV/cell) = -34.6
- symmetry = P4/mmm (123)
- V (Å³/cell) = 176

abc: 5.0024 5.0024 7.0224
angles: 90.00 90.00 90.00
Fractional coordinates of all 8 atoms:
Er 0.0000 0.0000 0.0000
Tm 0.0000 0.0000 0.5000
Tm 0.5000 0.5000 0.0000
Tm 0.5000 0.5000 0.5000
Ga 0.0000 0.5000 0.2512
Ga 0.0000 0.5000 0.7488
Ga 0.5000 0.0000 0.2512
Ga 0.5000 0.0000 0.7488